VASP calculation (PBE) on a relaxed Dy5Pd2Pt crystal.

```
data_Dy5Pd2Pt
_cell_length_a 7.305
_cell_length_b 7.305
_cell_length_c 14.643
_cell_angle_alpha 90.00
_cell_angle_beta 90.00
_cell_angle_gamma 90.00
_symmetry_space_group_name_H-M 'I 4/m c m'
_symmetry_Int_Tables_number 140
_symmetry_space_group_name_Hall '-I 4 2c'
loop_
_atom_site_label
_atom_site_type_symbol
_atom_site_fract_x
_atom_site_fract_y
_atom_site_fract_z
Dy1 Dy 0.000 0.000 0.000
Dy2 Dy 0.169 0.331 0.149
Pd1 Pd 0.134 0.366 0.500
Pt1 Pt 0.000 0.000 0.250
```

Summary:
Formation energy from the elements in eV/atom: -0.770
Size of the total moment in μB/f.u.: 0.00
E_tot in Ha/atom: -0.2094
V in Å³/atom: 24.42